(1)
The following is a SCAN calculation of a PBEsol-optimized structure of MgAgCl, from the Alexandria database.

Cell: 3.410 3.410 5.957 Å, 90.00 90.00 120.00°
Fractional coordinates of all 3 atoms:
Ag 0.000 0.000 0.032
Cl 0.333 0.667 0.618
Mg 0.667 0.333 0.350

Results
total DFT energy (no corrections): -0.57193 hartree per atom
total magnetic moment: 0.00 μB per formula unit
energy relative to the elements, uncorrected: -0.790 eV per atom
space-group type: P3m1
DOS at the Fermi energy: 0.3 states/eV per cell

(2)
The following is a SCAN calculation of a PBEsol-optimized structure of MgAgCl2, from the Alexandria database.

Cell: 3.263 3.263 10.134 Å, 90.00 90.00 114.60°
Fractional coordinates of all 4 atoms:
Ag 0.500 0.500 0.000
Cl 0.000 0.000 0.342
Cl 0.000 0.000 0.658
Mg 0.500 0.500 0.500

Results
total DFT energy (no corrections): -0.51500 hartree per atom
total magnetic moment: 0.00 μB per formula unit
energy relative to the elements, uncorrected: -0.940 eV per atom
space-group type: Cmmm
DOS at the Fermi energy: 0.3 states/eV per cell

(3)
The following is a SCAN calculation of a PBEsol-optimized structure of MgAgCl3, from the Alexandria database.

Cell: 4.824 4.824 4.824 Å, 90.00 90.00 90.00°
Fractional coordinates of all 5 atoms:
Mg 0.000 0.000 0.000
Ag 0.500 0.500 0.500
Cl 0.000 0.500 0.000
Cl 0.000 0.000 0.500
Cl 0.500 0.000 0.000

Results
total DFT energy (no corrections): -0.48829 hartree per atom
total magnetic moment: 0.00 μB per formula unit
energy relative to the elements, uncorrected: -1.232 eV per atom
space-group type: Pm-3m
DOS at the Fermi energy: 0.0 states/eV per cell

(4)
The following is a SCAN calculation of a PBEsol-optimized structure of MgAgCl2, from the Alexandria database.

Cell: 6.745 6.734 6.745 Å, 120.05 90.00 120.05°
Fractional coordinates of all 8 atoms:
Mg 0.750 0.500 0.250
Mg 0.500 0.000 0.500
Ag 0.250 0.500 0.750
Ag 0.000 0.000 0.000
Cl 0.798 0.250 0.875
Cl 0.452 0.250 0.375
Cl 0.625 0.750 0.202
Cl 0.125 0.750 0.548

Results
total DFT energy (no corrections): -0.51130 hartree per atom
total magnetic moment: 0.00 μB per formula unit
energy relative to the elements, uncorrected: -0.839 eV per atom
space-group type: I-42d
DOS at the Fermi energy: 2.3 states/eV per cell

(5)
The following is a SCAN calculation of a PBEsol-optimized structure of Mg2AgCl, from the Alexandria database.

Cell: 3.357 3.359 8.174 Å, 78.02 78.15 60.02°
Fractional coordinates of all 4 atoms:
Ag 0.000 0.500 0.500
Cl 0.500 0.000 0.000
Mg 0.251 0.748 0.750
Mg 0.749 0.252 0.250

Results
total DFT energy (no corrections): -0.47624 hartree per atom
total magnetic moment: 0.00 μB per formula unit
energy relative to the elements, uncorrected: -0.636 eV per atom
space-group type: C2/m
DOS at the Fermi energy: 0.8 states/eV per cell

(6)
The following is a SCAN calculation of a PBEsol-optimized structure of MgAgCl2, from the Alexandria database.

Cell: 3.218 5.649 5.649 Å, 59.71 73.45 73.45°
Fractional coordinates of all 4 atoms:
Ag 0.756 0.744 0.744
Cl 0.029 0.971 0.971
Cl 0.204 0.296 0.296
Mg 0.512 0.488 0.488

Results
total DFT energy (no corrections): -0.51082 hartree per atom
total magnetic moment: 0.00 μB per formula unit
energy relative to the elements, uncorrected: -0.826 eV per atom
space-group type: Imm2
DOS at the Fermi energy: 0.7 states/eV per cell

(7)
The following is a SCAN calculation of a PBEsol-optimized structure of MgAgCl2, from the Alexandria database.

Cell: 4.828 4.828 4.828 Å, 60.00 60.00 60.00°
Site moments in Bohr magnetons follow the coordinates.
Fractional coordinates of all 4 atoms:
Ag 0.500 0.500 0.500  0.12
Cl 0.000 0.000 0.000  0.04
Cl 0.750 0.750 0.750  0.08
Mg 0.250 0.250 0.250  0.02

Results
total DFT energy (no corrections): -0.49266 hartree per atom
total magnetic moment: 0.42 μB per formula unit
energy relative to the elements, uncorrected: -0.332 eV per atom
space-group type: F-43m
DOS at the Fermi energy: 2.5 states/eV per cell

(8)
The following is a SCAN calculation of a PBEsol-optimized structure of MgAgCl2, from the Alexandria database.

Cell: 3.341 5.282 6.396 Å, 114.39 105.14 90.00°
Fractional coordinates of all 4 atoms:
Ag 0.000 0.500 0.000
Cl 0.847 0.847 0.694
Cl 0.153 0.153 0.306
Mg 0.500 0.000 0.000

Results
total DFT energy (no corrections): -0.51421 hartree per atom
total magnetic moment: 0.00 μB per formula unit
energy relative to the elements, uncorrected: -0.918 eV per atom
space-group type: Immm
DOS at the Fermi energy: 1.4 states/eV per cell

(9)
The following is a SCAN calculation of a PBEsol-optimized structure of MgAgCl2, from the Alexandria database.

Cell: 3.403 5.391 5.393 Å, 121.55 90.00 90.00°
Fractional coordinates of all 4 atoms:
Ag 0.500 0.262 0.738
Cl 0.000 0.035 0.965
Cl 0.500 0.695 0.305
Mg 0.000 0.508 0.492

Results
total DFT energy (no corrections): -0.51669 hartree per atom
total magnetic moment: 0.00 μB per formula unit
energy relative to the elements, uncorrected: -0.986 eV per atom
space-group type: Amm2
DOS at the Fermi energy: 1.0 states/eV per cell

(10)
The following is a SCAN calculation of a PBEsol-optimized structure of MgAgP2Cl, from the Alexandria database.

Cell: 4.731 4.731 5.050 Å, 90.00 90.00 90.00°
Site moments in Bohr magnetons follow the coordinates.
Fractional coordinates of all 5 atoms:
P 0.000 0.500 0.000  0.22
P 0.500 0.000 0.000  0.22
Mg 0.500 0.500 0.500  -0.03
Ag 0.000 0.000 0.000  0.06
Cl 0.000 0.000 0.500  0.06

Results
total DFT energy (no corrections): -0.45746 hartree per atom
total magnetic moment: 0.95 μB per formula unit
energy relative to the elements, uncorrected: 0.575 eV per atom
space-group type: P4/mmm
DOS at the Fermi energy: 4.0 states/eV per cell

(11)
The following is a SCAN calculation of a PBEsol-optimized structure of MgSc2AgCl, from the Alexandria database.

Cell: 4.731 4.731 4.951 Å, 90.00 90.00 90.00°
Fractional coordinates of all 5 atoms:
Sc 0.000 0.500 0.000
Sc 0.500 0.000 0.000
Mg 0.500 0.500 0.500
Ag 0.000 0.000 0.500
Cl 0.000 0.000 0.000

Results
total DFT energy (no corrections): -0.53978 hartree per atom
total magnetic moment: 0.00 μB per formula unit
energy relative to the elements, uncorrected: -0.129 eV per atom
space-group type: P4/mmm
DOS at the Fermi energy: 4.2 states/eV per cell

(12)
The following is a SCAN calculation of a PBEsol-optimized structure of MnAg2Cl, from the Alexandria database.

Cell: 4.132 4.132 4.989 Å, 114.47 114.47 90.00°
Site moments in Bohr magnetons follow the coordinates.
Fractional coordinates of all 4 atoms:
Mn 0.250 0.750 0.500  4.29
Ag 0.000 0.000 0.000  -0.09
Ag 0.750 0.250 0.500  -0.08
Cl 0.500 0.500 0.000  -0.03

Results
total DFT energy (no corrections): -0.81278 hartree per atom
total magnetic moment: 4.17 μB per formula unit
energy relative to the elements, uncorrected: 0.125 eV per atom
space-group type: I-4m2
DOS at the Fermi energy: 0.8 states/eV per cell